Record 1
Cd2TcSb | Alexandria via LeMat-Bulk | GGA-PBE | optimized geometry; E = -15.44 eV per formula unit; formation energy without anion corrections = 0.88 eV/f.u.; calculated density = 8.58 Mg/m³; symmetry = R3m (160)
1.0
-5.6745 7.8071 1.9390
-5.6984 6.4142 4.8267
-3.2908 8.3672 4.0088
Cd Sb Tc
2 1 1
Cartesian
-0.1448 0.2231 0.1064 Cd
-3.6796 5.6682 2.7036 Cd
-7.1241 10.9742 5.2346 Sb
-11.0470 17.0172 8.1170 Tc


Record 2
CdTc4Sb | Alexandria via LeMat-Bulk | GGA-PBE | optimized geometry; E = -43.52 eV per formula unit; formation energy without anion corrections = 2.98 eV/f.u.; calculated density = 10.01 Mg/m³; symmetry = F-43m (216)
1.0
0.0000 3.7306 3.7306
3.7306 0.0000 3.7306
3.7306 3.7306 0.0000
Cd Tc Sb
1 4 1
Cartesian
5.5958 5.5958 5.5958 Cd
2.7970 4.6641 4.6641 Tc
4.6641 4.6641 2.7970 Tc
4.6641 2.7970 4.6641 Tc
2.7970 2.7970 2.7970 Tc
0.0000 0.0000 0.0000 Sb


Record 3
Cd2TcSb2 | Alexandria via LeMat-Bulk | GGA-PBE | optimized geometry; E above lowest polymorph = 0.64 eV per formula unit; E = -18.18 eV per formula unit; formation energy without anion corrections = 2.26 eV/f.u.; calculated density = 7.48 Mg/m³; symmetry = I4/mmm (139)
1.0
-2.1900 2.4949 1.4372
0.0917 -1.7444 3.1678
6.5906 5.5631 4.9380
Sb Tc Cd
2 1 2
Cartesian
0.1634 1.1987 2.7208 Sb
4.3289 5.1149 6.8223 Sb
0.0000 0.0000 0.0000 Tc
1.6757 4.2166 4.3389 Cd
2.8166 2.0970 5.2042 Cd


Record 4
CdTcSb2 | Alexandria via LeMat-Bulk | GGA-PBE | optimized geometry; E = -19.05 eV per formula unit; formation energy without anion corrections = 0.48 eV/f.u.; calculated density = 8.29 Mg/m³; symmetry = R-3m (166)
1.0
-4.1105 7.6450 -2.7105
-6.0946 5.2713 -4.2141
-6.6414 6.1412 -0.9313
Cd Sb Tc
1 2 1
Cartesian
-12.6349 14.2931 -5.8919 Cd
-16.6211 18.8024 -7.7507 Sb
-8.6487 9.7838 -4.0330 Sb
-4.2116 4.7644 -1.9640 Tc